(one)
The following is a PBE calculation of a relaxed As3Ir crystal, from the Alexandria database.

Values from the calculation:
N(E_F): 0.016 states/eV/atom
magnetic moment: 0.00 μB/atom
V: 317.3 Å³/cell

a b c (Å): 7.4422 7.4422 7.4422
angles (deg): 109.47 109.47 109.47
With the nearest neighbours (Å) after each atom.
Sites, in units of the cell vectors:
As1 0.1459 0.4939 0.3480  2 Ir 2.47, 2 As 2.51-2.61
As2 0.1459 0.7980 0.6520  2 Ir 2.47, 2 As 2.51-2.61
As3 0.2020 0.3480 0.8541  2 Ir 2.47, 2 As 2.51-2.61
As4 0.3480 0.1459 0.4939  2 Ir 2.47, 2 As 2.51-2.61
As5 0.3480 0.8541 0.2020  2 Ir 2.47, 2 As 2.51-2.61
As6 0.4939 0.3480 0.1459  2 Ir 2.47, 2 As 2.51-2.61
As7 0.5061 0.6520 0.8541  2 Ir 2.47, 2 As 2.51-2.61
As8 0.6520 0.1459 0.7980  2 Ir 2.47, 2 As 2.51-2.61
As9 0.6520 0.8541 0.5061  2 Ir 2.47, 2 As 2.51-2.61
As10 0.7980 0.6520 0.1459  2 Ir 2.47, 2 As 2.51-2.61
As11 0.8541 0.2020 0.3480  2 Ir 2.47, 2 As 2.51-2.61
As12 0.8541 0.5061 0.6520  2 Ir 2.47, 2 As 2.51-2.61
Ir1 0.0000 0.0000 0.5000  6 As 2.47
Ir2 0.0000 0.5000 0.0000  6 As 2.47
Ir3 0.5000 0.0000 0.0000  6 As 2.47
Ir4 0.5000 0.5000 0.5000  6 As 2.47



(two)
The following is a PBE calculation of a relaxed As3Ir crystal, from the Alexandria database.

Values from the calculation:
N(E_F): 0.289 states/eV/atom
magnetic moment: 0.00 μB/atom
V: 69.6 Å³/cell

a b c (Å): 4.1133 4.1133 4.1133
angles (deg): 90.00 90.00 90.00
With the nearest neighbours (Å) after each atom.
Sites, in units of the cell vectors:
As1 0.0000 0.0000 0.5000  8 As 2.91, 4 Ir 2.91
As2 0.0000 0.5000 0.0000  8 As 2.91, 4 Ir 2.91
As3 0.5000 0.0000 0.0000  8 As 2.91, 4 Ir 2.91
Ir1 0.5000 0.5000 0.5000  12 As 2.91



The most stable of them is (one).